Computed, not measured: a geometry-optimized MnCrAu3 structure at the PBE level of DFT.

abc: 4.7307 4.7307 4.7307
angles: 90.00 90.00 90.00
Last column: nearest neighbours and their distance in Å.
Positions (direct):
Cr 0.5000 0.5000 0.5000  12 Au 3.35
Mn 0.0000 0.0000 0.0000  6 Au 2.37
Au 0.0000 0.5000 0.0000  2 Mn 2.37
Au 0.0000 0.0000 0.5000  2 Mn 2.37
Au 0.5000 0.0000 0.0000  2 Mn 2.37

Output
M_tot	0.29	μB per cell
energy of formation from the pure elements	1.595	eV per atom
space group	Pm-3m, No. 221
energy above the most stable polymorph in this dataset	0.654	eV per atom


Computed, not measured: a geometry-optimized Mn2CrAu structure at the PBE level of DFT.

abc: 3.0013 4.5161 5.3990
angles: 55.33 90.00 90.00
Last column: nearest neighbours and their distance in Å.
Positions (direct):
Au 0.5000 0.5000 0.5000  6 Mn 2.70-2.78, 4 Cr 2.71, 2 Au 3.00
Cr 0.0000 0.0000 0.5000  6 Mn 2.70-2.78, 4 Au 2.71, 2 Cr 3.00
Mn 0.0000 0.0000 0.0000  2 Cr 2.70, 6 Mn 2.71-3.00, 4 Au 2.78
Mn 0.5000 0.5000 0.0000  2 Au 2.70, 6 Mn 2.71-3.00, 4 Cr 2.78

Output
M_tot	2.90	μB per cell
energy of formation from the pure elements	0.335	eV per atom
space group	P2/m, No. 10


Computed, not measured: a geometry-optimized MnCrAu structure at the PBE level of DFT.

abc: 2.8252 2.8252 18.3906
angles: 90.00 90.00 120.00
Last column: nearest neighbours and their distance in Å.
Positions (direct):
Cr 0.0000 0.0000 0.2252  3 Mn 2.20
Cr 0.3333 0.6667 0.8918  3 Mn 2.20
Cr 0.6667 0.3333 0.5585  3 Mn 2.20
Mn 0.0000 0.0000 0.8114  3 Cr 2.20
Mn 0.3333 0.6667 0.4781  3 Cr 2.20
Mn 0.6667 0.3333 0.1448  3 Cr 2.20
Au 0.0000 0.0000 0.0187  6 Au 2.83, 3 Mn 2.83, 3 Cr 2.85
Au 0.3333 0.6667 0.6854  6 Au 2.83, 3 Mn 2.83, 3 Cr 2.85
Au 0.6667 0.3333 0.3521  6 Au 2.83, 3 Mn 2.83, 3 Cr 2.85

Output
M_tot	0.00	μB per cell
energy of formation from the pure elements	0.310	eV per atom
space group	R3m, No. 160
energy above the most stable polymorph in this dataset	0.251	eV per atom


Computed, not measured: a geometry-optimized MnCrAu structure at the PBE level of DFT.

abc: 2.8839 2.8839 6.2938
angles: 90.00 90.00 120.00
Last column: nearest neighbours and their distance in Å.
Positions (direct):
Cr 0.3333 0.6667 0.1188  3 Mn 2.39
Mn 0.0000 0.0000 0.8464  3 Cr 2.39
Au 0.6667 0.3333 0.4838  3 Mn 2.83, 3 Cr 2.84, 6 Au 2.88

Output
M_tot	0.57	μB per cell
energy of formation from the pure elements	0.290	eV per atom
space group	P3m1, No. 156
energy above the most stable polymorph in this dataset	0.231	eV per atom


Computed, not measured: a geometry-optimized MnCr2Au structure at the PBE level of DFT.

abc: 8.7803 8.7803 8.7803
angles: 17.42 17.42 17.42
Last column: nearest neighbours and their distance in Å.
Positions (direct):
Au 0.7500 0.7500 0.7500  6 Au 2.66, 6 Cr 2.84
Cr 0.9910 0.9910 0.9910  3 Mn 2.46, 6 Cr 2.66
Cr 0.5090 0.5090 0.5090  3 Mn 2.46, 6 Cr 2.66
Mn 0.2500 0.2500 0.2500  6 Cr 2.46, 6 Mn 2.66

Output
M_tot	0.00	μB per cell
energy of formation from the pure elements	0.430	eV per atom
space group	R-3m, No. 166
energy above the most stable polymorph in this dataset	0.287	eV per atom


Computed, not measured: a geometry-optimized Mn2CrAu structure at the PBE level of DFT.

abc: 4.6908 4.6908 4.6908
angles: 130.64 130.64 72.38
Last column: nearest neighbours and their distance in Å.
Positions (direct):
Au 0.2500 0.7500 0.5000  8 Mn 2.72, 4 Cr 2.77
Cr 0.7500 0.2500 0.5000  8 Mn 2.72, 4 Au 2.77
Mn 0.0000 0.0000 0.0000  4 Au 2.72, 4 Cr 2.72, 4 Mn 2.77
Mn 0.5000 0.5000 0.0000  4 Cr 2.72, 4 Au 2.72, 4 Mn 2.77

Output
M_tot	3.74	μB per cell
energy of formation from the pure elements	0.072	eV per atom
space group	I4/mmm, No. 139